# 1
PaSb2Te: relaxed, PBE-GGA.

a = 4.0862 Å, b = 10.7901 Å, c = 5.7561 Å
α = 90.00°, β = 110.70°, γ = 90.00°
Space group P2_1/m (No. 11)
Symmetry-distinct sites (fractional):
Pa: 0.2457 0.2500 0.4918 x2
Sb: 0.3472 0.5308 0.6951 x4
Te: 0.0426 0.7500 0.0835 x2

Computed properties:
Energy relative to the elements, uncorrected ... -428 meV/atom
Spin magnetization ... 0.1895 μB/atom
Excess energy over the best structure of this formula in the dataset ... 0.0000 eV/atom

---

# 2
Pa6SbTe5: relaxed, PBE-GGA.

a = 7.1305 Å, b = 12.3576 Å, c = 8.1985 Å
α = 90.00°, β = 106.88°, γ = 90.00°
Space group C2/m (No. 12)
Symmetry-distinct sites (fractional):
Pa: 0.2486 0.0000 0.2488 x4
Pa: 0.2496 0.1669 0.7502 x8
Sb: 0.0000 0.5000 0.0000 x2
Te: 0.0000 0.0000 0.5000 x2
Te: 0.0000 0.1670 0.0000 x4
Te: 0.0000 0.3342 0.5000 x4

Computed properties:
Energy relative to the elements, uncorrected ... -570 meV/atom
Spin magnetization ... 0.3326 μB/atom

---

# 3
Pa2SbTe: relaxed, PBE-GGA.

a = 4.0095 Å, b = 4.0095 Å, c = 24.9148 Å
α = 90.00°, β = 90.00°, γ = 120.00°
Space group R3m (No. 160, hexagonal axes)
Symmetry-distinct sites (fractional):
Pa: 0.0000 0.0000 0.0000 x3
Pa: 0.0000 0.0000 0.1708 x3
Sb: 0.0000 0.0000 0.5853 x3
Te: 0.0000 0.0000 0.7523 x3

Computed properties:
Energy relative to the elements, uncorrected ... -480 meV/atom
Spin magnetization ... 0.0201 μB/atom
Excess energy over the best structure of this formula in the dataset ... 0.0665 eV/atom

---

# 4
Pa3SbTe2: relaxed, PBE-GGA.

a = 8.0677 Å, b = 12.4877 Å, c = 7.2151 Å
α = 90.00°, β = 107.33°, γ = 90.00°
Space group C2/c (No. 15)
Symmetry-distinct sites (fractional):
Pa: 0.2498 0.0836 0.0006 x8
Pa: 0.2500 0.2500 0.5000 x4
Sb: 0.0000 0.0828 0.2500 x4
Te: 0.0000 0.2491 0.7500 x4
Te: 0.0000 0.4165 0.2500 x4

Computed properties:
Energy relative to the elements, uncorrected ... -543 meV/atom
Spin magnetization ... 0.2594 μB/atom

---

# 5
Pa3SbTe2: relaxed, PBE-GGA.

a = 7.2198 Å, b = 12.4733 Å, c = 4.5488 Å
α = 90.00°, β = 122.06°, γ = 90.00°
Space group C2/m (No. 12)
Symmetry-distinct sites (fractional):
Pa: 0.0000 0.0000 0.0000 x2
Pa: 0.0000 0.3327 0.0000 x4
Sb: 0.0000 0.5000 0.5000 x2
Te: 0.0000 0.1661 0.5000 x4

Computed properties:
Energy relative to the elements, uncorrected ... -545 meV/atom
Spin magnetization ... 0.2964 μB/atom

---

# 6
PaSbTe2: relaxed, PBE-GGA.

a = 5.5743 Å, b = 5.5743 Å, c = 12.4329 Å
α = 90.00°, β = 90.00°, γ = 120.00°
Space group R-3m (No. 166, hexagonal axes)
Symmetry-distinct sites (fractional):
Pa: 0.0000 0.0000 0.0000 x3
Sb: 0.0000 0.0000 0.5000 x3
Te: 0.0000 0.0000 0.2629 x6

Computed properties:
Energy relative to the elements, uncorrected ... -223 meV/atom
Spin magnetization ... 0.1606 μB/atom
Excess energy over the best structure of this formula in the dataset ... 0.1799 eV/atom

---

# 7
Pa3SbTe8: relaxed, PBE-GGA.

a = 8.8201 Å, b = 8.8201 Å, c = 14.1303 Å
α = 90.00°, β = 90.00°, γ = 120.00°
Space group P6_3mc (No. 186)
Symmetry-distinct sites (fractional):
Pa: 0.1661 0.3321 0.0000 x6
Sb: 0.3333 0.6667 0.2386 x2
Te: 0.0000 0.0000 0.1235 x2
Te: 0.0070 0.5035 0.1277 x6
Te: 0.1665 0.3329 0.3873 x6
Te: 0.3333 0.6667 0.8785 x2

Computed properties:
Energy relative to the elements, uncorrected ... -615 meV/atom
Spin magnetization ... 0.1708 μB/atom

---

# 8
Pa2SbTe6: relaxed, PBE-GGA.

a = 7.2342 Å, b = 7.6633 Å, c = 12.2368 Å
α = 90.00°, β = 118.09°, γ = 90.00°
Space group P2_1/c (No. 14)
Symmetry-distinct sites (fractional):
Pa: 0.1621 0.1248 0.2215 x4
Sb: 0.5000 0.0000 0.0000 x2
Te: 0.0965 0.1910 0.9370 x4
Te: 0.2364 0.6602 0.9182 x4
Te: 0.4366 0.0663 0.7420 x4

Computed properties:
Energy relative to the elements, uncorrected ... -538 meV/atom
Spin magnetization ... 0.1212 μB/atom